This record from Alexandria via LeMat-Bulk describes a geometry-optimized CePr2Ge3 structure. The functional is PBE.

a = 7.4480 Å, b = 7.4480 Å, c = 7.4480 Å
α = 146.42°, β = 131.73°, γ = 60.09°
Atoms (fractional coordinates):
Ce 0.0000 0.0000 0.0000
Pr 0.3302 0.3302 0.0000
Pr 0.6698 0.6698 0.0000
Ge 0.1582 0.6582 0.5000
Ge 0.5000 0.0000 0.5000
Ge 0.8418 0.3418 0.5000

Computed properties:
VASP energy	-33.183	eV for the cell shown
formation energy	-0.640	eV/atom
space-group type	Immm
total moment	0.0001	μB/atom

This record from Alexandria via LeMat-Bulk describes a geometry-optimized Ce2PrGe2 structure. The functional is PBE.

a = 7.7941 Å, b = 7.7941 Å, c = 7.7941 Å
α = 136.15°, β = 113.20°, γ = 83.39°
Atoms (fractional coordinates):
Ce 0.2256 0.1315 0.0941
Ce 0.4625 0.8685 0.5941
Ce 0.5375 0.1315 0.4059
Ce 0.7744 0.8685 0.9059
Pr 0.1282 0.3782 0.7500
Pr 0.8718 0.6218 0.2500
Ge 0.1420 0.8920 0.2500
Ge 0.3875 0.6375 0.7500
Ge 0.6125 0.3625 0.2500
Ge 0.8580 0.1080 0.7500

Computed properties:
VASP energy	-56.920	eV for the cell shown
formation energy	-0.516	eV/atom
space-group type	Imma
total moment	0.4139	μB/atom

This record from Alexandria via LeMat-Bulk describes a geometry-optimized Ce3Pr2Ge4 structure. The functional is PBE.

a = 8.9820 Å, b = 8.9820 Å, c = 8.4781 Å
α = 90.00°, β = 90.00°, γ = 134.67°
Atoms (fractional coordinates):
Ce 0.0000 0.0000 0.0000
Ce 0.0429 0.4571 0.2500
Ce 0.4571 0.0429 0.7500
Ce 0.5000 0.5000 0.5000
Ce 0.5429 0.9571 0.2500
Ce 0.9571 0.5429 0.7500
Pr 0.1064 0.8936 0.4166
Pr 0.3936 0.6064 0.9166
Pr 0.6064 0.3936 0.0834
Pr 0.8936 0.1064 0.5834
Ge 0.1840 0.8160 0.0540
Ge 0.2181 0.2819 0.2500
Ge 0.2819 0.2181 0.7500
Ge 0.3160 0.6840 0.5540
Ge 0.6840 0.3160 0.4460
Ge 0.7181 0.7819 0.2500
Ge 0.7819 0.7181 0.7500
Ge 0.8160 0.1840 0.9460

Computed properties:
VASP energy	-102.265	eV for the cell shown
formation energy	-0.589	eV/atom
space-group type	Cmce
total moment	0.2282	μB/atom

Please write out number 2 again, unchanged.
This record from Alexandria via LeMat-Bulk describes a geometry-optimized Ce2PrGe2 structure. The functional is PBE.

a = 7.7941 Å, b = 7.7941 Å, c = 7.7941 Å
α = 136.15°, β = 113.20°, γ = 83.39°
Atoms (fractional coordinates):
Ce 0.2256 0.1315 0.0941
Ce 0.4625 0.8685 0.5941
Ce 0.5375 0.1315 0.4059
Ce 0.7744 0.8685 0.9059
Pr 0.1282 0.3782 0.7500
Pr 0.8718 0.6218 0.2500
Ge 0.1420 0.8920 0.2500
Ge 0.3875 0.6375 0.7500
Ge 0.6125 0.3625 0.2500
Ge 0.8580 0.1080 0.7500

Computed properties:
VASP energy	-56.920	eV for the cell shown
formation energy	-0.516	eV/atom
space-group type	Imma
total moment	0.4139	μB/atom